Entry one
# KLaCd3

Crystalline KLaCd3 at its relaxed geometry (PBEsol, Alexandria).

Mass density   3.9 g cm⁻³

Cell: 6.0519 6.0519 6.0519 Å, 90.00 90.00 90.00°
Last column: nearest neighbours and their distance in Å.
Space group Pm-3m (No. 221)
One atom of each set of equivalent atoms:
K1 0.0000 0.0000 0.0000 x1  12 Cd 4.28
La1 0.5000 0.5000 0.5000 x1  6 Cd 3.03
Cd1 0.0000 0.5000 0.5000 x3  2 La 3.03


Entry two
# KLaCd3

Crystalline KLaCd3 at its relaxed geometry (PBEsol, Alexandria).

Mass density   5.2 g cm⁻³

Cell: 5.4785 5.4785 5.4785 Å, 90.00 90.00 90.00°
Last column: nearest neighbours and their distance in Å.
Space group Pm-3m (No. 221)
One atom of each set of equivalent atoms:
K1 0.0000 0.0000 0.0000 x1  6 Cd 2.74
La1 0.5000 0.5000 0.5000 x1  12 Cd 3.87
Cd1 0.0000 0.0000 0.5000 x3  2 K 2.74


Q: Which of them is the most stable? A: entry one.